Arrangement a

A relaxed Ac4Ag crystal, computed with PBE-GGA.

a b c (Å): 3.977 3.977 25.043
angles (deg): 90.00 90.00 90.00
Space group I4/mmm (No. 139)
One atom of each set of equivalent atoms:
Ac 0.000 0.000 0.079 (multiplicity 4)
Ac 0.000 0.000 0.306 (multiplicity 4)
Ag 0.000 0.000 0.500 (multiplicity 2)

For the density of states at the Fermi level, the calculation gives 1.430 states/eV per atom.


Arrangement b

A relaxed Ac4Ag crystal, computed with PBE-GGA.

a b c (Å): 6.138 6.138 6.138
angles (deg): 90.00 90.00 90.00
Space group Pm-3m (No. 221)
One atom of each set of equivalent atoms:
Ac 0.000 0.000 0.000 (multiplicity 1)
Ac 0.000 0.500 0.500 (multiplicity 3)
Ag 0.500 0.500 0.500 (multiplicity 1)

For the density of states at the Fermi level, the calculation gives 1.693 states/eV per atom.


Arrangement c

A relaxed Ac4Ag crystal, computed with PBE-GGA.

a b c (Å): 13.561 15.358 7.865
angles (deg): 90.00 90.00 90.00
Space group Fdd2 (No. 43)
One atom of each set of equivalent atoms:
Ac 0.079 0.119 0.000 (multiplicity 16)
Ac 0.103 0.182 0.533 (multiplicity 16)
Ag 0.000 0.000 0.632 (multiplicity 8)

For the density of states at the Fermi level, the calculation gives 1.366 states/eV per atom.


In terms of stability, arrangement a leads; the second structure lies 0.094 eV/atom higher.


Arrangement a

A relaxed Ac3Ag crystal, computed with PBE-GGA.

a b c (Å): 8.475 8.475 8.475
angles (deg): 90.00 90.00 90.00
Space group Fm-3m (No. 225)
One atom of each set of equivalent atoms:
Ac 0.000 0.000 0.000 (multiplicity 4)
Ac 0.250 0.250 0.250 (multiplicity 8)
Ag 0.000 0.000 0.500 (multiplicity 4)

For the density of states at the Fermi level, the calculation gives 1.189 states/eV per atom.


Arrangement b

A relaxed Ac3Ag crystal, computed with PBE-GGA.

a b c (Å): 5.314 5.314 5.314
angles (deg): 90.00 90.00 90.00
Space group Pm-3m (No. 221)
One atom of each set of equivalent atoms:
Ac 0.000 0.000 0.500 (multiplicity 3)
Ag 0.500 0.500 0.500 (multiplicity 1)

For the density of states at the Fermi level, the calculation gives 1.290 states/eV per atom.


In terms of stability, arrangement b leads; the second structure lies 0.059 eV/atom higher.


Arrangement a

A relaxed Ac3Ag crystal, computed with PBE-GGA.

a b c (Å): 4.047 12.228 6.185
angles (deg): 90.00 90.00 90.00
Space group Imm2 (No. 44)
One atom of each set of equivalent atoms:
Ac 0.000 0.000 0.000 (multiplicity 2)
Ac 0.000 0.213 0.515 (multiplicity 4)
Ag 0.000 0.500 0.954 (multiplicity 2)

For the density of states at the Fermi level, the calculation gives 1.431 states/eV per atom.


Arrangement b

A relaxed Ac3Ag crystal, computed with PBE-GGA.

a b c (Å): 3.966 3.966 9.713
angles (deg): 90.00 90.00 90.00
Space group P4/mmm (No. 123)
One atom of each set of equivalent atoms:
Ac 0.000 0.000 0.000 (multiplicity 1)
Ac 0.500 0.500 0.296 (multiplicity 2)
Ag 0.000 0.000 0.500 (multiplicity 1)

For the density of states at the Fermi level, the calculation gives 1.221 states/eV per atom.


In terms of stability, arrangement b leads; the second structure lies 0.051 eV/atom higher.


Arrangement a

A relaxed AcAg12 crystal, computed with PBE-GGA.

a b c (Å): 11.405 11.405 11.405
angles (deg): 90.00 90.00 90.00
Space group Fm-3m (No. 225)
One atom of each set of equivalent atoms:
Ac 0.000 0.000 0.000 (multiplicity 4)
Ag 0.000 0.169 0.331 (multiplicity 48)

For the density of states at the Fermi level, the calculation gives 0.705 states/eV per atom.


Arrangement b

A relaxed AcAg12 crystal, computed with PBE-GGA.

a b c (Å): 9.657 9.657 5.618
angles (deg): 90.00 90.00 90.00
Space group I4/mmm (No. 139)
One atom of each set of equivalent atoms:
Ac 0.000 0.000 0.000 (multiplicity 2)
Ag 0.000 0.221 0.500 (multiplicity 8)
Ag 0.000 0.354 0.000 (multiplicity 8)
Ag 0.250 0.250 0.250 (multiplicity 8)

For the density of states at the Fermi level, the calculation gives 0.365 states/eV per atom.


In terms of stability, arrangement b leads; the second structure lies 0.569 eV/atom higher.